No. 1
A plane-wave DFT calculation with PBE-GGA was carried out for a relaxed structure of HgAsPdO. Values from VASP.

Calculated values
- Excess energy over the best structure of this formula in the dataset: 0.0000 eV/atom
- SG: No. 26

```
&SYSTEM
  ibrav = 0, nat = 8, ntyp = 4
/
ATOMIC_SPECIES
Pd 106.42 Pd.upf
As 74.92 As.upf
Hg 200.59 Hg.upf
O 16.00 O.upf
CELL_PARAMETERS angstrom
3.487 0.000 0.000
0.000 6.755 0.000
0.000 0.000 6.158
ATOMIC_POSITIONS crystal
Pd 0.500 0.000 0.124
Pd 0.500 0.000 0.624
As 0.000 0.830 0.874
Hg 0.000 0.445 0.882
O 0.500 0.212 0.874
O 0.500 0.788 0.374
Hg 0.000 0.555 0.382
As 0.000 0.170 0.374
```

=====

No. 2
A plane-wave DFT calculation with PBE-GGA was carried out for a relaxed structure of HgAsPdO. Values from VASP.

Calculated values
- Excess energy over the best structure of this formula in the dataset: 0.1644 eV/atom
- SG: No. 26

```
&SYSTEM
  ibrav = 0, nat = 8, ntyp = 4
/
ATOMIC_SPECIES
As 74.92 As.upf
O 16.00 O.upf
Pd 106.42 Pd.upf
Hg 200.59 Hg.upf
CELL_PARAMETERS angstrom
-1.714 0.665 3.603
-5.420 -2.262 -2.160
1.608 -5.566 1.793
ATOMIC_POSITIONS crystal
As 0.000 0.384 0.334
O 0.500 0.175 0.928
Pd 0.000 0.760 0.457
Hg 0.500 0.810 0.035
O 0.500 0.825 0.428
As 0.000 0.616 0.834
Pd 0.000 0.240 0.957
Hg 0.500 0.190 0.535
```

=====

No. 3
A plane-wave DFT calculation with PBE-GGA was carried out for a relaxed structure of HgAsPdO. Values from VASP.

Calculated values
- Excess energy over the best structure of this formula in the dataset: 0.1444 eV/atom
- SG: No. 129

```
&SYSTEM
  ibrav = 0, nat = 8, ntyp = 4
/
ATOMIC_SPECIES
O 16.00 O.upf
As 74.92 As.upf
Hg 200.59 Hg.upf
Pd 106.42 Pd.upf
CELL_PARAMETERS angstrom
4.357 0.000 0.000
0.000 4.357 0.000
0.000 0.000 7.313
ATOMIC_POSITIONS crystal
O 0.500 0.500 0.000
As 0.000 0.500 0.332
As 0.500 0.000 0.668
Hg 0.500 0.000 0.115
Pd 0.500 0.500 0.500
Hg 0.000 0.500 0.885
Pd 0.000 0.000 0.500
O 0.000 0.000 0.000
```

=====

These records have total energy values of -3.952, -3.788, -3.808 eV per atom, in the order they appear.